Entry 1:
Compound: Ca4Al6MoO16
Source: Alexandria
Functional: PBE with a Hubbard U
Structure: optimized geometry

## Properties
M_tot in μB per atom: 0.000
Distance to the lowest polymorph of the same formula in meV/atom: 0
DOS at the Fermi energy in states/eV/f.u.: 0.0

abc: 26.386 8.118 8.118
angles: 108.99 90.00 90.00
Element x y z (fractional)
Ca (0.017, 0.233, 0.767)
Ca (0.120, 0.029, 0.057)
Ca (0.137, 0.604, 0.549)
Ca (0.250, 0.282, 0.805)
Ca (0.250, 0.782, 0.305)
Ca (0.363, 0.104, 0.049)
Ca (0.380, 0.529, 0.557)
Ca (0.483, 0.733, 0.267)
Ca (0.517, 0.267, 0.733)
Ca (0.620, 0.557, 0.529)
Ca (0.637, 0.049, 0.104)
Ca (0.750, 0.305, 0.782)
Ca (0.750, 0.805, 0.282)
Ca (0.863, 0.549, 0.604)
Ca (0.880, 0.057, 0.029)
Ca (0.983, 0.767, 0.233)
Al (0.000, 0.039, 0.039)
Al (0.000, 0.525, 0.525)
Al (0.060, 0.424, 0.156)
Al (0.063, 0.659, 0.888)
Al (0.185, 0.418, 0.169)
Al (0.190, 0.680, 0.931)
Al (0.244, 0.048, 0.054)
Al (0.256, 0.548, 0.554)
Al (0.310, 0.180, 0.431)
Al (0.315, 0.918, 0.669)
Al (0.437, 0.159, 0.388)
Al (0.440, 0.924, 0.656)
Al (0.500, 0.025, 0.025)
Al (0.500, 0.539, 0.539)
Al (0.560, 0.656, 0.924)
Al (0.563, 0.388, 0.159)
Al (0.685, 0.669, 0.918)
Al (0.690, 0.431, 0.180)
Al (0.744, 0.554, 0.548)
Al (0.756, 0.054, 0.048)
Al (0.810, 0.931, 0.680)
Al (0.815, 0.169, 0.418)
Al (0.937, 0.888, 0.659)
Al (0.940, 0.156, 0.424)
Mo (0.136, 0.057, 0.536)
Mo (0.364, 0.557, 0.036)
Mo (0.636, 0.036, 0.557)
Mo (0.864, 0.536, 0.057)
O (0.017, 0.543, 0.320)
O (0.032, 0.847, 0.030)
O (0.046, 0.492, 0.972)
O (0.047, 0.198, 0.063)
O (0.054, 0.589, 0.660)
O (0.089, 0.061, 0.699)
O (0.106, 0.076, 0.347)
O (0.122, 0.452, 0.242)
O (0.126, 0.730, 0.900)
O (0.170, 0.852, 0.482)
O (0.179, 0.235, 0.621)
O (0.195, 0.196, 0.047)
O (0.208, 0.522, 0.023)
O (0.210, 0.876, 0.088)
O (0.211, 0.621, 0.717)
O (0.220, 0.516, 0.362)
O (0.280, 0.016, 0.862)
O (0.289, 0.121, 0.217)
O (0.290, 0.376, 0.588)
O (0.292, 0.022, 0.523)
O (0.305, 0.696, 0.547)
O (0.321, 0.735, 0.121)
O (0.330, 0.352, 0.982)
O (0.374, 0.230, 0.400)
O (0.378, 0.952, 0.742)
O (0.394, 0.576, 0.847)
O (0.411, 0.561, 0.199)
O (0.446, 0.089, 0.160)
O (0.453, 0.698, 0.563)
O (0.454, 0.992, 0.472)
O (0.468, 0.347, 0.530)
O (0.483, 0.043, 0.820)
O (0.517, 0.820, 0.043)
O (0.532, 0.530, 0.347)
O (0.546, 0.472, 0.992)
O (0.547, 0.563, 0.698)
O (0.554, 0.160, 0.089)
O (0.589, 0.199, 0.561)
O (0.606, 0.847, 0.576)
O (0.622, 0.742, 0.952)
O (0.626, 0.400, 0.230)
O (0.670, 0.982, 0.352)
O (0.679, 0.121, 0.735)
O (0.695, 0.547, 0.696)
O (0.708, 0.523, 0.022)
O (0.710, 0.588, 0.376)
O (0.711, 0.217, 0.121)
O (0.720, 0.862, 0.016)
O (0.780, 0.362, 0.516)
O (0.789, 0.717, 0.621)
O (0.790, 0.088, 0.876)
O (0.792, 0.023, 0.522)
O (0.805, 0.047, 0.196)
O (0.821, 0.621, 0.235)
O (0.830, 0.482, 0.852)
O (0.874, 0.900, 0.730)
O (0.878, 0.242, 0.452)
O (0.894, 0.347, 0.076)
O (0.911, 0.699, 0.061)
O (0.946, 0.660, 0.589)
O (0.953, 0.063, 0.198)
O (0.954, 0.972, 0.492)
O (0.968, 0.030, 0.847)
O (0.983, 0.320, 0.543)


Entry 2:
Compound: Ca4Al6MoO16
Source: Alexandria
Functional: PBE with a Hubbard U
Structure: optimized geometry

## Properties
M_tot in μB per atom: 0.000
Distance to the lowest polymorph of the same formula in meV/atom: 5
DOS at the Fermi energy in states/eV/f.u.: 0.0

abc: 8.152 8.152 8.152
angles: 110.06 110.06 108.29
Element x y z (fractional)
Ca (0.232, 0.269, 0.535)
Ca (0.302, 0.768, 0.037)
Ca (0.731, 0.265, 0.963)
Ca (0.735, 0.698, 0.465)
Al (0.000, 0.000, 0.000)
Al (0.004, 0.770, 0.262)
Al (0.230, 0.492, 0.233)
Al (0.259, 0.996, 0.767)
Al (0.500, 0.500, 0.000)
Al (0.508, 0.741, 0.738)
Mo (0.750, 0.250, 0.500)
O (0.013, 0.334, 0.630)
O (0.027, 0.244, 0.084)
O (0.057, 0.973, 0.217)
O (0.059, 0.874, 0.517)
O (0.126, 0.643, 0.185)
O (0.161, 0.943, 0.916)
O (0.357, 0.542, 0.483)
O (0.385, 0.246, 0.826)
O (0.420, 0.560, 0.174)
O (0.440, 0.615, 0.860)
O (0.458, 0.941, 0.815)
O (0.617, 0.987, 0.321)
O (0.666, 0.296, 0.679)
O (0.704, 0.383, 0.370)
O (0.754, 0.580, 0.140)
O (0.756, 0.839, 0.783)


Entry 3:
Compound: Ca2AlMoO5
Source: Alexandria
Functional: PBE with a Hubbard U
Structure: optimized geometry

## Properties
M_tot in μB per atom: 0.333
Raw total energy in eV/atom: -7.03
DOS at the Fermi energy in states/eV/f.u.: 0.0

abc: 8.252 8.252 5.712
angles: 109.12 109.12 41.63
Element x y z (fractional)
Ca (0.046, 0.493, 0.363)
Ca (0.215, 0.785, 0.500)
Ca (0.493, 0.046, 0.863)
Ca (0.785, 0.215, 0.000)
Al (0.465, 0.811, 0.227)
Al (0.811, 0.465, 0.727)
Mo (0.138, 0.634, 0.931)
Mo (0.634, 0.138, 0.431)
O (0.075, 0.399, 0.749)
O (0.202, 0.867, 0.113)
O (0.346, 0.471, 0.637)
O (0.399, 0.075, 0.249)
O (0.471, 0.346, 0.137)
O (0.567, 0.713, 0.534)
O (0.713, 0.567, 0.034)
O (0.804, 0.923, 0.722)
O (0.867, 0.202, 0.613)
O (0.923, 0.804, 0.222)


Entry 4:
Compound: CaAlMoO4
Source: Alexandria
Functional: PBE with a Hubbard U
Structure: optimized geometry

## Properties
M_tot in μB per atom: 0.429
Raw total energy in eV/atom: -7.10

abc: 6.246 6.246 6.246
angles: 121.12 118.73 90.15
Element x y z (fractional)
Ca (0.500, 0.000, 0.000)
Ca (0.500, 0.500, 0.500)
Al (0.111, 0.361, 0.750)
Al (0.889, 0.639, 0.250)
Mo (0.000, 0.000, 0.000)
Mo (0.500, 0.000, 0.500)
O (0.228, 0.246, 0.982)
O (0.235, 0.236, 0.502)
O (0.235, 0.733, 0.998)
O (0.237, 0.754, 0.482)
O (0.763, 0.246, 0.518)
O (0.765, 0.267, 0.002)
O (0.765, 0.764, 0.498)
O (0.772, 0.754, 0.018)


- Which value of M_tot does entry 4 give?
  0.429 μB per atom